# Ac8Ag2Pd

An optimized crystal structure of Ac8Ag2Pd (PBE-GGA, the Alexandria database).

Cell and atoms, written as extended XYZ:
```
11
Lattice="5.588 0.000 0.000 0.000 7.537 0.514 -2.794 -2.611 9.428" Properties=species:S:1:pos:R:3 pbc="T T T"
Ac 0.000 2.007 8.018
Ac 2.794 6.538 3.502
Ac 2.794 3.469 5.910
Ac 2.794 -0.815 9.046
Ac 0.000 1.457 4.031
Ac 0.000 -1.612 6.440
Ac 2.794 2.919 1.924
Ac 0.000 5.741 0.896
Ag 2.794 0.276 5.994
Ag 0.000 4.650 3.948
Pd 2.794 0.000 0.000
```

## Properties
calculated total energy	-4.150	eV/atom
formation energy from the elements	-1.89	eV/f.u.
spin magnetization	0.000	μB per atom